# 1
An optimized crystal structure of Ca2SnPRu. Source: Alexandria via LeMat-Bulk, functional GGA-PBE.

Properties
Density in g/cm3: 3.983
Raw total energy in eV/f.u.: -20.89
Formation energy from the elements in eV per atom: 0.361

Cell: 5.2039 5.2039 5.0938 Å, 90.00 90.00 90.00°
Space group P4/mmm (No. 123)
Unique sites:
Ca 0.0000 0.5000 0.0000 x2
Sn 0.0000 0.0000 0.5000 x1
P 0.0000 0.0000 0.0000 x1
Ru 0.5000 0.5000 0.5000 x1

---

# 2
An optimized crystal structure of Ba2Pd2Ru. Source: Alexandria via LeMat-Bulk, functional GGA-PBE.

Properties
Density in g/cm3: 7.538
Raw total energy in eV/f.u.: -23.06
Formation energy from the elements in eV per atom: 0.090

Cell: 7.2727 7.2727 4.9023 Å, 90.00 90.00 90.00°
Space group P4/mbm (No. 127)
Unique sites:
Ba 0.1790 0.3210 0.0000 x4
Pd 0.1371 0.6371 0.5000 x4
Ru 0.0000 0.0000 0.5000 x2

---

# 3
An optimized crystal structure of LiCo3Se. Source: Alexandria via LeMat-Bulk, functional GGA-PBE.

Properties
Density in g/cm3: 5.214
Raw total energy in eV/f.u.: -24.14
Energy relative to the elements, uncorrected in meV/atom: 516

Cell: 4.3736 4.3736 4.3736 Å, 90.00 90.00 90.00°
Space group Pm-3m (No. 221)
Unique sites:
Li 0.0000 0.0000 0.0000 x1
Co 0.0000 0.5000 0.5000 x3
Se 0.5000 0.5000 0.5000 x1

---

# 4
An optimized crystal structure of ZrNi4Au. Source: Alexandria via LeMat-Bulk, functional GGA-PBE.

Properties
Density in g/cm3: 10.790
Raw total energy in eV/f.u.: -37.53
Formation energy from the elements in eV per atom: -0.430

Cell: 6.8536 6.8536 6.8536 Å, 90.00 90.00 90.00°
Space group F-43m (No. 216)
Unique sites:
Zr 0.0000 0.0000 0.0000 x4
Ni 0.1246 0.1246 0.6246 x16
Au 0.2500 0.2500 0.2500 x4

---

# 5
An optimized crystal structure of HfBiTeO6. Source: Alexandria via LeMat-Bulk, functional GGA-PBE.

Properties
Density in g/cm3: 7.731
Raw total energy in eV/f.u.: -63.07
Energy relative to the elements, uncorrected in meV/atom: -1816

Cell: 5.5129 5.5129 9.9734 Å, 90.00 90.00 120.00°
Space group P-31c (No. 163)
Unique sites:
Hf 0.3333 0.6667 0.2500 x2
Bi 0.0000 0.0000 0.0000 x2
Te 0.3333 0.6667 0.7500 x2
O 0.0035 0.3622 0.6385 x12

---

# 6
An optimized crystal structure of LaAlSi2. Source: Alexandria via LeMat-Bulk, functional GGA-PBE.

Properties
Density in g/cm3: 4.458
Raw total energy in eV/f.u.: -19.20
Energy relative to the elements, uncorrected in meV/atom: 80

Cell: 3.2882 3.2882 26.5027 Å, 90.00 90.00 120.00°
Space group R-3m (No. 166, hexagonal axes)
Unique sites:
La 0.0000 0.0000 0.0000 x3
Al 0.0000 0.0000 0.5000 x3
Si 0.0000 0.0000 0.2362 x6

---

# 7
An optimized crystal structure of LiLaZnCo. Source: Alexandria via LeMat-Bulk, functional GGA-PBE.

Properties
Density in g/cm3: 6.230
Raw total energy in eV/f.u.: -15.19
Formation energy from the elements in eV per atom: 0.007

Cell: 6.6045 6.6045 6.6045 Å, 90.00 90.00 90.00°
Space group F-43m (No. 216)
Unique sites:
Li 0.0000 0.0000 0.0000 x4
La 0.2500 0.2500 0.2500 x4
Zn 0.2500 0.2500 0.7500 x4
Co 0.0000 0.0000 0.5000 x4

---

# 8
An optimized crystal structure of Fe3MoCl. Source: Alexandria via LeMat-Bulk, functional GGA-PBE.

Properties
Density in g/cm3: 5.187
Raw total energy in eV/f.u.: -30.22
Energy relative to the elements, uncorrected in meV/atom: 1568

Cell: 4.5740 4.5740 4.5740 Å, 90.00 90.00 90.00°
Space group Pm-3m (No. 221)
Unique sites:
Fe 0.0000 0.0000 0.5000 x3
Mo 0.0000 0.0000 0.0000 x1
Cl 0.5000 0.5000 0.5000 x1

---

# 9
An optimized crystal structure of Mg2MoRu. Source: Alexandria via LeMat-Bulk, functional GGA-PBE.

Properties
Density in g/cm3: 6.036
Raw total energy in eV/f.u.: -22.64
Formation energy from the elements in eV per atom: 0.165

Cell: 2.8594 4.3750 5.4919 Å, 90.00 100.42 90.00°
Space group Pm (No. 6)
Unique sites:
Mg 0.0000 0.0000 0.0000 x1
Mg 0.2806 0.5000 0.7292 x1
Mo 0.6895 0.5000 0.2661 x1
Ru 0.5649 0.0000 0.4673 x1

---

# 10
An optimized crystal structure of Mn2Cr3InS8. Source: Alexandria via LeMat-Bulk, functional GGA-PBE.

Properties
Density in g/cm3: 4.306
Raw total energy in eV/f.u.: -90.41
Energy relative to the elements, uncorrected in meV/atom: -532

Cell: 6.8599 6.8599 18.0881 Å, 90.00 90.00 120.00°
Space group R3m (No. 160, hexagonal axes)
Unique sites:
Mn 0.0000 0.0000 0.0000 x3
Mn 0.0000 0.0000 0.3855 x3
Cr 0.0579 0.5289 0.8781 x9
In 0.0000 0.0000 0.7399 x3
S 0.0000 0.0000 0.1266 x3
S 0.0000 0.0000 0.6029 x3
S 0.0293 0.5147 0.1411 x9
S 0.1814 0.3628 0.9619 x9

---

# 11
An optimized crystal structure of NbVCd. Source: Alexandria via LeMat-Bulk, functional GGA-PBE.

Properties
Density in g/cm3: 7.956
Raw total energy in eV/f.u.: -19.59
Formation energy from the elements in eV per atom: 0.172

Cell: 10.1218 3.2126 6.9638 Å, 90.00 109.12 90.00°
Space group Cm (No. 8)
Unique sites:
Nb 0.0000 0.0000 0.0000 x2
Nb 0.1730 0.5000 0.8540 x2
V 0.3556 0.0000 0.7051 x2
V 0.4982 0.5000 0.5839 x2
Cd 0.1580 0.5000 0.3903 x2
Cd 0.3388 0.0000 0.2276 x2

---

# 12
An optimized crystal structure of HgRu. Source: Alexandria via LeMat-Bulk, functional GGA-PBE.

Properties
Density in g/cm3: 12.116
Raw total energy in eV/f.u.: -7.20
Formation energy from the elements in eV per atom: 1.190

Cell: 5.4889 5.4889 5.4889 Å, 90.00 90.00 90.00°
Space group Fm-3m (No. 225)
Unique sites:
Hg 0.0000 0.0000 0.0000 x4
Ru 0.0000 0.0000 0.5000 x4

---

# 13
An optimized crystal structure of Li2CaDyAu2. Source: Alexandria via LeMat-Bulk, functional GGA-PBE.

Properties
Density in g/cm3: 7.630
Raw total energy in eV/f.u.: -20.22
Formation energy from the elements in eV per atom: -0.539

Cell: 4.4941 4.4941 7.5950 Å, 90.00 90.00 120.00°
Space group P-3m1 (No. 164)
Unique sites:
Li 0.3333 0.6667 0.2530 x2
Ca 0.0000 0.0000 0.0000 x1
Dy 0.0000 0.0000 0.5000 x1
Au 0.3333 0.6667 0.7241 x2

---

# 14
An optimized crystal structure of CaTl5Pb2. Source: Alexandria via LeMat-Bulk, functional GGA-PBE.

Properties
Density in g/cm3: 10.160
Raw total energy in eV/f.u.: -22.13
Formation energy from the elements in eV per atom: -0.109

Cell: 7.0967 13.8111 4.9238 Å, 90.00 90.00 90.00°
Space group Pbam (No. 55)
Unique sites:
Ca 0.0000 0.0000 0.0000 x2
Tl 0.0000 0.5000 0.0000 x2
Tl 0.0064 0.2505 0.0000 x4
Tl 0.2505 0.3756 0.5000 x4
Pb 0.2398 0.6285 0.5000 x4

---

# 15
An optimized crystal structure of Sm6Sn3Au. Source: Alexandria via LeMat-Bulk, functional GGA-PBE.

Properties
Density in g/cm3: 7.776
Raw total energy in eV/f.u.: -49.02
Formation energy from the elements in eV per atom: -0.542

Cell: 6.3082 8.8463 12.7713 Å, 90.00 119.30 90.00°
Space group P2_1/c (No. 14)
Unique sites:
Sm 0.0420 0.1808 0.4368 x4
Sm 0.3192 0.6691 0.4335 x4
Sm 0.3826 0.0494 0.2432 x4
Sn 0.1504 0.1169 0.7461 x4
Sn 0.5000 0.0000 0.5000 x2
Au 0.0000 0.0000 0.0000 x2

---

# 16
An optimized crystal structure of TmZnBr. Source: Alexandria via LeMat-Bulk, functional GGA-PBE.

Properties
Density in g/cm3: 6.277
Raw total energy in eV/f.u.: -9.97
Energy relative to the elements, uncorrected in meV/atom: -849

Cell: 6.6763 3.8561 13.1182 Å, 90.00 100.09 90.00°
Space group C2/m (No. 12)
Unique sites:
Tm 0.0977 0.0000 0.3000 x4
Zn 0.1844 0.0000 0.5509 x4
Br 0.1182 0.5000 0.8434 x4

---

# 17
An optimized crystal structure of Be3TeCl. Source: Alexandria via LeMat-Bulk, functional GGA-PBE.

Properties
Density in g/cm3: 3.650
Raw total energy in eV/f.u.: -10.98
Energy relative to the elements, uncorrected in meV/atom: 1038

Cell: 4.4223 4.4223 4.4223 Å, 90.00 90.00 90.00°
Space group Pm-3m (No. 221)
Unique sites:
Be 0.0000 0.0000 0.5000 x3
Te 0.5000 0.5000 0.5000 x1
Cl 0.0000 0.0000 0.0000 x1

---

# 18
An optimized crystal structure of CaNdEr2. Source: Alexandria via LeMat-Bulk, functional GGA-PBE.

Properties
Density in g/cm3: 6.274
Raw total energy in eV/f.u.: -15.55
Formation energy from the elements in eV per atom: 0.085

Cell: 3.6453 3.6453 10.3334 Å, 90.00 90.00 90.00°
Space group P4/mmm (No. 123)
Unique sites:
Ca 0.0000 0.0000 0.0000 x1
Nd 0.0000 0.0000 0.5000 x1
Er 0.5000 0.5000 0.2666 x2

---

# 19
An optimized crystal structure of TlCoSe2. Source: Alexandria via LeMat-Bulk, functional GGA-PBE.

Properties
Density in g/cm3: 7.908
Raw total energy in eV/f.u.: -14.88
Energy relative to the elements, uncorrected in meV/atom: 391

Cell: 5.5511 7.9807 4.8521 Å, 90.00 124.62 90.00°
Space group C2/m (No. 12)
Unique sites:
Tl 0.0000 0.0000 0.0000 x2
Co 0.0000 0.5000 0.0000 x2
Se 0.2500 0.2500 0.5000 x4

---

# 20
An optimized crystal structure of ZrHg2Rh. Source: Alexandria via LeMat-Bulk, functional GGA-PBE.

Properties
Density in g/cm3: 12.388
Raw total energy in eV/f.u.: -16.23
Formation energy from the elements in eV per atom: 0.068

Cell: 3.1233 3.1233 28.3369 Å, 90.00 90.00 120.00°
Space group R-3m (No. 166, hexagonal axes)
Unique sites:
Zr 0.0000 0.0000 0.0000 x3
Hg 0.0000 0.0000 0.2440 x6
Rh 0.0000 0.0000 0.5000 x3

---

| no. | density of states at the Fermi level (states/eV per cell) |
| --- | --- |
| 1 | 2.5 |
| 2 | 12.2 |
| 3 | 11.4 |
| 4 | 25.9 |
| 5 | 10.2 |
| 6 | 7.1 |
| 7 | 11.6 |
| 8 | 7.8 |
| 9 | 3.7 |
| 10 | 22.0 |
| 11 | 11.3 |
| 12 | 10.6 |
| 13 | 5.1 |
| 14 | 6.8 |
| 15 | 20.0 |
| 16 | 6.0 |
| 17 | 3.2 |
| 18 | 6.4 |
| 19 | 12.0 |
| 20 | 11.9 |